Entry 1:
Hf3Al4Zn2: optimized geometry, PBE.

a b c (Å): 5.390 5.390 8.217
angles (deg): 115.39 115.39 47.91
Element x y z (fractional)
Hf1 0.000 0.000 0.000
Hf2 0.335 0.335 0.332
Hf3 0.665 0.665 0.668
Al1 0.058 0.058 0.388
Al2 0.278 0.278 0.940
Al3 0.722 0.722 0.060
Al4 0.942 0.942 0.612
Zn1 0.387 0.387 0.719
Zn2 0.613 0.613 0.281

Values from the calculation:
- energy (eV/cell) = -50.713
- size of the total moment (μB per atom) = 0.000
- ΔH_f (0 K) (eV/f.u.) = -3.33

=====

Entry 2:
Hf8Al2Zn: optimized geometry, PBE.

a b c (Å): 7.656 7.656 5.085
angles (deg): 102.74 102.74 119.54
Element x y z (fractional)
Hf1 0.094 0.328 0.649
Hf2 0.214 0.786 0.000
Hf3 0.328 0.094 0.649
Hf4 0.406 0.406 0.207
Hf5 0.594 0.594 0.793
Hf6 0.672 0.906 0.351
Hf7 0.786 0.214 0.000
Hf8 0.906 0.672 0.351
Al1 0.304 0.696 0.500
Al2 0.696 0.304 0.500
Zn1 0.000 0.000 0.000

Values from the calculation:
- energy (eV/cell) = -88.019
- size of the total moment (μB per atom) = 0.000
- ΔH_f (0 K) (eV/f.u.) = 0.37

=====

Entry 3:
Hf5AlZn4: optimized geometry, PBE.

a b c (Å): 3.224 3.224 17.501
angles (deg): 90.00 90.00 90.00
Element x y z (fractional)
Hf1 0.000 0.000 0.000
Hf2 0.000 0.000 0.196
Hf3 0.000 0.000 0.394
Hf4 0.000 0.000 0.606
Hf5 0.000 0.000 0.804
Al1 0.500 0.500 0.500
Zn1 0.500 0.500 0.098
Zn2 0.500 0.500 0.293
Zn3 0.500 0.500 0.707
Zn4 0.500 0.500 0.902

Values from the calculation:
- energy (eV/cell) = -60.633
- size of the total moment (μB per atom) = 0.000
- ΔH_f (0 K) (eV/f.u.) = -2.03

=====

Entry 4:
HfAlZn: optimized geometry, PBE.

a b c (Å): 6.465 6.465 4.032
angles (deg): 90.00 90.00 141.51
Element x y z (fractional)
Hf1 0.092 0.908 0.750
Hf2 0.908 0.092 0.250
Al1 0.415 0.585 0.750
Al2 0.585 0.415 0.250
Zn1 0.256 0.744 0.250
Zn2 0.744 0.256 0.750

Values from the calculation:
- energy (eV/cell) = -31.311
- size of the total moment (μB per atom) = 0.000
- ΔH_f (0 K) (eV/f.u.) = -0.69

=====

Entry 5:
Hf2Al3Zn: optimized geometry, PBE.

a b c (Å): 5.218 5.218 5.218
angles (deg): 60.88 60.88 60.88
Element x y z (fractional)
Hf1 0.124 0.124 0.124
Hf2 0.876 0.876 0.876
Al1 0.000 0.500 0.500
Al2 0.500 0.000 0.500
Al3 0.500 0.500 0.000
Zn1 0.500 0.500 0.500

Values from the calculation:
- energy (eV/cell) = -35.005
- size of the total moment (μB per atom) = 0.000
- ΔH_f (0 K) (eV/f.u.) = -2.60

=====

Entry 6:
HfAl2Zn2: optimized geometry, PBE.

a b c (Å): 7.479 7.479 2.990
angles (deg): 90.00 90.00 90.00
Element x y z (fractional)
Hf1 0.000 0.000 0.000
Hf2 0.500 0.500 0.000
Al1 0.177 0.323 0.500
Al2 0.323 0.823 0.500
Al3 0.677 0.177 0.500
Al4 0.823 0.677 0.500
Zn1 0.122 0.622 0.000
Zn2 0.378 0.122 0.000
Zn3 0.622 0.878 0.000
Zn4 0.878 0.378 0.000

Values from the calculation:
- energy (eV/cell) = -41.128
- size of the total moment (μB per atom) = 0.000
- ΔH_f (0 K) (eV/f.u.) = -0.58

=====

Entry 7:
Hf2AlZn: optimized geometry, PBE.

a b c (Å): 9.445 9.445 9.445
angles (deg): 19.03 19.03 19.03
Element x y z (fractional)
Hf1 0.247 0.247 0.247
Hf2 0.753 0.753 0.753
Al1 0.000 0.000 0.000
Zn1 0.500 0.500 0.500

Values from the calculation:
- energy (eV/cell) = -25.209
- size of the total moment (μB per atom) = 0.000
- ΔH_f (0 K) (eV/f.u.) = -0.29

=====

Entry 8:
Hf3Al2Zn7: optimized geometry, PBE.

a b c (Å): 8.788 8.788 8.788
angles (deg): 34.61 34.61 34.61
Element x y z (fractional)
Hf1 0.000 0.000 0.000
Hf2 0.142 0.142 0.142
Hf3 0.858 0.858 0.858
Al1 0.335 0.335 0.335
Al2 0.665 0.665 0.665
Zn1 0.078 0.589 0.589
Zn2 0.411 0.411 0.922
Zn3 0.411 0.922 0.411
Zn4 0.500 0.500 0.500
Zn5 0.589 0.078 0.589
Zn6 0.589 0.589 0.078
Zn7 0.922 0.411 0.411

Values from the calculation:
- energy (eV/cell) = -48.564
- size of the total moment (μB per atom) = 0.000
- ΔH_f (0 K) (eV/f.u.) = -2.30

=====

Entry 9:
Hf3Al3Zn2: optimized geometry, PBE.

a b c (Å): 5.432 5.432 13.850
angles (deg): 90.00 90.00 135.78
Element x y z (fractional)
Hf1 0.072 0.928 0.615
Hf2 0.072 0.928 0.885
Hf3 0.350 0.650 0.750
Hf4 0.650 0.350 0.250
Hf5 0.928 0.072 0.115
Hf6 0.928 0.072 0.385
Al1 0.371 0.629 0.250
Al2 0.382 0.618 0.539
Al3 0.382 0.618 0.961
Al4 0.618 0.382 0.039
Al5 0.618 0.382 0.461
Al6 0.629 0.371 0.750
Zn1 0.215 0.785 0.109
Zn2 0.215 0.785 0.391
Zn3 0.785 0.215 0.609
Zn4 0.785 0.215 0.891

Values from the calculation:
- energy (eV/cell) = -92.642
- size of the total moment (μB per atom) = 0.000
- ΔH_f (0 K) (eV/f.u.) = -2.69

=====

Entry 10:
Hf2Al3Zn: optimized geometry, PBE.

a b c (Å): 7.169 7.169 4.926
angles (deg): 90.00 90.00 69.19
Element x y z (fractional)
Hf1 0.081 0.666 0.750
Hf2 0.334 0.919 0.750
Hf3 0.666 0.081 0.250
Hf4 0.919 0.334 0.250
Al1 0.090 0.910 0.250
Al2 0.291 0.291 0.000
Al3 0.291 0.291 0.500
Al4 0.709 0.709 0.000
Al5 0.709 0.709 0.500
Al6 0.910 0.090 0.750
Zn1 0.430 0.570 0.250
Zn2 0.570 0.430 0.750

Values from the calculation:
- energy (eV/cell) = -63.296
- size of the total moment (μB per atom) = 0.000
- ΔH_f (0 K) (eV/f.u.) = 0.76

=====

Entry 11:
HfAlZn: optimized geometry, PBE.

a b c (Å): 5.226 5.226 5.226
angles (deg): 120.43 119.25 90.28
Element x y z (fractional)
Hf1 0.377 0.127 0.250
Hf2 0.623 0.873 0.750
Al1 0.000 0.500 0.500
Al2 0.500 0.500 0.000
Zn1 0.000 0.000 0.500
Zn2 0.000 0.500 0.000

Values from the calculation:
- energy (eV/cell) = -32.157
- size of the total moment (μB per atom) = 0.000
- ΔH_f (0 K) (eV/f.u.) = -1.11

=====

Entry 12:
HfAl2Zn3: optimized geometry, PBE.

a b c (Å): 6.454 6.454 3.974
angles (deg): 90.00 90.00 143.78
Element x y z (fractional)
Hf1 0.000 0.000 0.000
Al1 0.329 0.671 0.000
Al2 0.671 0.329 0.000
Zn1 0.170 0.830 0.500
Zn2 0.500 0.500 0.500
Zn3 0.830 0.170 0.500

Values from the calculation:
- energy (eV/cell) = -22.146
- size of the total moment (μB per atom) = 0.000
- ΔH_f (0 K) (eV/f.u.) = -0.89

=====

Entry 13:
HfAlZn2: optimized geometry, PBE.

a b c (Å): 4.041 4.041 4.055
angles (deg): 90.00 90.00 90.00
Element x y z (fractional)
Hf1 0.000 0.000 0.000
Al1 0.500 0.500 0.000
Zn1 0.000 0.500 0.500
Zn2 0.500 0.000 0.500

Values from the calculation:
- energy (eV/cell) = -17.486
- size of the total moment (μB per atom) = 0.000
- ΔH_f (0 K) (eV/f.u.) = -1.24

=====

Entry 14:
Hf3AlZn4: optimized geometry, PBE.

a b c (Å): 7.251 7.251 7.251
angles (deg): 156.60 100.38 84.38
Element x y z (fractional)
Hf1 0.000 0.000 0.000
Hf2 0.263 0.763 0.500
Hf3 0.737 0.237 0.500
Al1 0.500 0.500 0.000
Zn1 0.126 0.375 0.751
Zn2 0.376 0.625 0.751
Zn3 0.624 0.375 0.249
Zn4 0.874 0.625 0.249

Values from the calculation:
- energy (eV/cell) = -39.129
- size of the total moment (μB per atom) = 0.000
- ΔH_f (0 K) (eV/f.u.) = -0.43

=====

Entry 15:
Hf6AlZn: optimized geometry, PBE.

a b c (Å): 6.127 6.127 6.159
angles (deg): 104.37 104.37 119.72
Element x y z (fractional)
Hf1 0.033 0.459 0.248
Hf2 0.247 0.247 0.755
Hf3 0.459 0.033 0.248
Hf4 0.541 0.967 0.752
Hf5 0.753 0.753 0.245
Hf6 0.967 0.541 0.752
Al1 0.500 0.500 0.500
Zn1 0.000 0.000 0.000

Values from the calculation:
- energy (eV/cell) = -62.460
- offset from the most stable computed form (eV/atom) = 0.446
- size of the total moment (μB per atom) = 0.000
- ΔH_f (0 K) (eV/f.u.) = 2.28

=====

Entry 16:
Hf2AlZn: optimized geometry, PBE.

a b c (Å): 6.016 6.016 6.016
angles (deg): 102.64 102.64 124.23
Element x y z (fractional)
Hf1 0.115 0.625 0.990
Hf2 0.375 0.365 0.490
Hf3 0.635 0.125 0.010
Hf4 0.875 0.885 0.510
Al1 0.250 0.750 0.500
Al2 0.500 0.500 0.000
Zn1 0.000 0.000 0.000
Zn2 0.750 0.250 0.500

Values from the calculation:
- energy (eV/cell) = -48.448
- size of the total moment (μB per atom) = 0.000
- ΔH_f (0 K) (eV/f.u.) = 0.70

=====

Entry 17:
Hf4Al2Zn5: optimized geometry, PBE.

a b c (Å): 6.948 3.096 9.171
angles (deg): 90.00 94.41 90.00
Element x y z (fractional)
Hf1 0.162 0.000 0.392
Hf2 0.283 0.000 0.944
Hf3 0.717 0.000 0.056
Hf4 0.838 0.000 0.608
Al1 0.060 0.500 0.137
Al2 0.940 0.500 0.863
Zn1 0.199 0.500 0.667
Zn2 0.433 0.500 0.209
Zn3 0.500 0.500 0.500
Zn4 0.567 0.500 0.791
Zn5 0.801 0.500 0.333

Values from the calculation:
- energy (eV/cell) = -55.857
- size of the total moment (μB per atom) = 0.000
- ΔH_f (0 K) (eV/f.u.) = -2.19

=====

Entry 18:
Hf2AlZn: optimized geometry, PBE.

a b c (Å): 4.307 4.307 3.991
angles (deg): 90.00 90.00 90.00
Element x y z (fractional)
Hf1 0.000 0.500 0.000
Hf2 0.500 0.000 0.000
Al1 0.000 0.000 0.500
Zn1 0.500 0.500 0.500

Values from the calculation:
- energy (eV/cell) = -25.902
- size of the total moment (μB per atom) = 0.000
- ΔH_f (0 K) (eV/f.u.) = -0.98

=====

Entry 19:
HfAl6Zn2: optimized geometry, PBE.

a b c (Å): 6.600 6.600 6.325
angles (deg): 107.77 107.77 35.21
Element x y z (fractional)
Hf1 0.000 0.000 0.000
Al1 0.112 0.112 0.662
Al2 0.223 0.223 0.330
Al3 0.335 0.335 0.998
Al4 0.665 0.665 0.002
Al5 0.777 0.777 0.670
Al6 0.888 0.888 0.338
Zn1 0.442 0.442 0.655
Zn2 0.558 0.558 0.345

Values from the calculation:
- energy (eV/cell) = -35.662
- size of the total moment (μB per atom) = 0.000
- ΔH_f (0 K) (eV/f.u.) = -0.71

=====

Entry 20:
Hf6AlZn2: optimized geometry, PBE.

a b c (Å): 7.814 7.814 7.814
angles (deg): 115.35 111.70 101.66
Element x y z (fractional)
Hf1 0.037 0.821 0.216
Hf2 0.249 0.550 0.301
Hf3 0.249 0.948 0.699
Hf4 0.286 0.300 0.586
Hf5 0.286 0.700 0.987
Hf6 0.395 0.179 0.216
Hf7 0.605 0.821 0.784
Hf8 0.714 0.300 0.013
Hf9 0.714 0.700 0.414
Hf10 0.751 0.052 0.301
Hf11 0.751 0.450 0.699
Hf12 0.963 0.179 0.784
Al1 0.000 0.500 0.500
Al2 0.500 0.000 0.500
Zn1 0.000 0.156 0.156
Zn2 0.000 0.844 0.844
Zn3 0.376 0.376 0.000
Zn4 0.624 0.624 0.000

Values from the calculation:
- energy (eV/cell) = -133.647
- size of the total moment (μB per atom) = 0.000
- ΔH_f (0 K) (eV/f.u.) = -0.81